PBE-GGA CsLi2BN, relaxed; SG = No. 123; energy = -1.84 eV/atom; formation energy from raw total energies = 2.094 eV/atom; magnetic moment = 0.000 μB per formula unit
1.0
5.448 0.000 0.000
0.000 5.448 0.000
0.000 0.000 4.569
Cs Li B N
1 2 1 1
Direct
0.000 0.000 0.000
0.000 0.500 0.000
0.500 0.000 0.000
0.500 0.500 0.500
0.000 0.000 0.500

---

PBE-GGA CaMoCl2, relaxed; SG = No. 166; energy = -4.55 eV/atom; formation energy from raw total energies = -0.417 eV/atom; magnetic moment = 4.945 μB per formula unit
1.0
3.802 0.000 0.000
-1.901 3.292 0.000
0.000 0.000 32.569
Ca Mo Cl
3 3 6
Direct
0.000 0.000 0.000
0.333 0.667 0.667
0.667 0.333 0.333
0.000 0.000 0.500
0.333 0.667 0.167
0.667 0.333 0.833
0.000 0.000 0.285
0.000 0.000 0.715
0.333 0.667 0.381
0.333 0.667 0.952
0.667 0.333 0.048
0.667 0.333 0.619

---

PBE-GGA Pu2InSn9, relaxed; SG = No. 10; energy = -5.79 eV/atom; magnetic moment = 11.150 μB per formula unit; formation enthalpy at 0 K = -173.9 meV/atom
1.0
6.416 0.000 0.000
0.000 5.069 0.000
-0.286 0.000 9.756
Pu In Sn
2 1 9
Direct
0.245 0.000 0.315
0.755 0.000 0.685
0.500 0.000 0.000
0.000 0.000 0.000
0.000 0.500 0.500
0.029 0.500 0.822
0.254 0.000 0.659
0.496 0.500 0.824
0.500 0.500 0.500
0.504 0.500 0.176
0.746 0.000 0.341
0.971 0.500 0.178